Entry 1:
# RbHoSe4 (PBE, optimized geometry)
data_RbHoSe4
_chemical_formula_sum 'Rb2 Ho2 Se8'
_space_group_name_H-M_alt 'P 1'
_space_group_IT_number 1
_space_group_name_Hall 'P 1'
_cell_length_a 6.282
_cell_length_b 6.282
_cell_length_c 8.691
_cell_angle_alpha 90.00
_cell_angle_beta 90.00
_cell_angle_gamma 90.00
loop_
_atom_site_label
_atom_site_type_symbol
_atom_site_fract_x
_atom_site_fract_y
_atom_site_fract_z
Rb1 Rb 0.500 0.500 0.500
Rb2 Rb 0.000 0.000 0.500
Ho1 Ho 0.500 0.500 0.000
Ho2 Ho 0.000 0.000 0.000
Se1 Se 0.637 0.863 0.197
Se2 Se 0.137 0.637 0.197
Se3 Se 0.863 0.363 0.197
Se4 Se 0.637 0.137 0.803
Se5 Se 0.363 0.863 0.803
Se6 Se 0.363 0.137 0.197
Se7 Se 0.863 0.637 0.803
Se8 Se 0.137 0.363 0.803
# space group: P4/nbm (125)
# size of the total moment: 0.0 μB/cell
# formation energy from raw total energies: -1.153 eV per atom


Entry 2:
# RbHo5Se8 (PBE, optimized geometry)
data_RbHo5Se8
_chemical_formula_sum 'Rb1 Ho5 Se8'
_space_group_name_H-M_alt 'P 1'
_space_group_IT_number 1
_space_group_name_Hall 'P 1'
_cell_length_a 4.130
_cell_length_b 10.076
_cell_length_c 10.798
_cell_angle_alpha 104.20
_cell_angle_beta 101.03
_cell_angle_gamma 90.00
loop_
_atom_site_label
_atom_site_type_symbol
_atom_site_fract_x
_atom_site_fract_y
_atom_site_fract_z
Rb1 Rb 0.500 0.499 0.000
Ho1 Ho 0.296 0.659 0.593
Ho2 Ho 0.704 0.341 0.407
Ho3 Ho 0.345 0.047 0.689
Ho4 Ho 0.655 0.953 0.310
Ho5 Ho 0.000 0.000 0.000
Se1 Se 0.230 0.147 0.460
Se2 Se 0.770 0.853 0.540
Se3 Se 0.168 0.494 0.336
Se4 Se 0.832 0.506 0.664
Se5 Se 0.080 0.807 0.160
Se6 Se 0.920 0.193 0.839
Se7 Se 0.422 0.851 0.843
Se8 Se 0.578 0.149 0.156
# space group: Cm (8)
# size of the total moment: 0.0 μB/cell
# formation energy from raw total energies: -1.837 eV per atom


Entry 3:
# Rb3SmHo2Se6 (PBE, optimized geometry)
data_Rb3SmHo2Se6
_chemical_formula_sum 'Rb3 Sm1 Ho2 Se6'
_space_group_name_H-M_alt 'P 1'
_space_group_IT_number 1
_space_group_name_Hall 'P 1'
_cell_length_a 7.377
_cell_length_b 7.377
_cell_length_c 8.369
_cell_angle_alpha 98.46
_cell_angle_beta 98.46
_cell_angle_gamma 120.00
loop_
_atom_site_label
_atom_site_type_symbol
_atom_site_fract_x
_atom_site_fract_y
_atom_site_fract_z
Rb1 Rb 0.166 0.834 0.500
Rb2 Rb 0.834 0.166 0.500
Rb3 Rb 0.500 0.500 0.500
Sm1 Sm 0.000 0.000 0.000
Ho1 Ho 0.333 0.667 0.000
Ho2 Ho 0.667 0.333 0.000
Se1 Se 0.934 0.595 0.804
Se2 Se 0.726 0.726 0.196
Se3 Se 0.066 0.405 0.196
Se4 Se 0.595 0.934 0.804
Se5 Se 0.274 0.274 0.804
Se6 Se 0.405 0.066 0.196
# space group: C2/m (12)
# size of the total moment: 0.0 μB/cell
# formation energy from raw total energies: -1.735 eV per atom


Entry 4:
# RbSmHo4Se8 (PBE, optimized geometry)
data_RbSmHo4Se8
_chemical_formula_sum 'Rb1 Sm1 Ho4 Se8'
_space_group_name_H-M_alt 'P 1'
_space_group_IT_number 1
_space_group_name_Hall 'P 1'
_cell_length_a 8.591
_cell_length_b 8.591
_cell_length_c 8.698
_cell_angle_alpha 60.41
_cell_angle_beta 60.41
_cell_angle_gamma 60.00
loop_
_atom_site_label
_atom_site_type_symbol
_atom_site_fract_x
_atom_site_fract_y
_atom_site_fract_z
Rb1 Rb 0.371 0.371 0.887
Sm1 Sm 0.005 0.005 0.984
Ho1 Ho 0.626 0.626 0.123
Ho2 Ho 0.004 0.487 0.505
Ho3 Ho 0.487 0.004 0.505
Ho4 Ho 0.004 0.004 0.505
Se1 Se 0.237 0.801 0.724
Se2 Se 0.801 0.237 0.724
Se3 Se 0.237 0.237 0.724
Se4 Se 0.231 0.231 0.308
Se5 Se 0.755 0.230 0.260
Se6 Se 0.230 0.755 0.260
Se7 Se 0.755 0.755 0.260
Se8 Se 0.757 0.757 0.728
# space group: R3m (160)
# size of the total moment: 0.0 μB/cell
# formation energy from raw total energies: -1.713 eV per atom


formation energy from raw total energies of number 1 (RbHoSe4)?
-1.153 eV per atom


Which of these has the highest formation energy from raw total energies?
RbHoSe4